# Hf4Pd2Rh

A geometry-optimized Hf4Pd2Rh structure (GGA-PBE, Alexandria).

```
Hf4Pd2Rh
1.0
4.897 0.000 0.000
0.000 4.897 0.000
2.448 2.448 6.629
Hf Pd Rh
4 2 1
direct
0.000 0.500 0.000
0.196 0.196 0.608
0.500 0.000 0.000
0.804 0.804 0.392
0.390 0.390 0.220
0.610 0.610 0.780
0.000 0.000 0.000
```

Summary:
VASP energy	-8.219	eV/atom
ΔE_f	0.02	eV/f.u.
N(E_F)	1.18	states/eV per atom

# Ba4Ac3UP8

A geometry-optimized Ba4Ac3UP8 structure (GGA-PBE, Alexandria).

```
Ba4Ac3UP8
1.0
-8.319 3.076 -0.140
-2.498 -6.492 5.735
6.691 5.404 2.169
P Ac Ba U
8 3 4 1
direct
0.771 0.707 0.989
0.229 0.293 0.011
0.257 0.270 0.514
0.218 0.707 0.989
0.219 0.708 0.437
0.782 0.293 0.011
0.781 0.292 0.563
0.743 0.730 0.486
0.000 0.500 0.500
0.500 0.500 0.000
0.500 0.500 0.500
0.500 0.000 0.000
0.500 0.000 0.500
0.000 0.000 0.000
0.000 0.000 0.500
0.000 0.500 0.000
```

Summary:
VASP energy	-5.757	eV/atom
ΔE_f	-17.53	eV/f.u.
N(E_F)	0.66	states/eV per atom

# Sm5Sc2Ge4

A geometry-optimized Sm5Sc2Ge4 structure (GGA-PBE, Alexandria).

```
Sm5Sc2Ge4
1.0
4.206 0.000 0.000
0.000 7.148 -0.555
-2.103 -2.812 10.113
Sm Sc Ge
5 2 4
direct
0.835 0.068 0.671
0.165 0.932 0.329
0.500 0.000 0.000
0.836 0.604 0.671
0.164 0.396 0.329
0.573 0.573 0.145
0.427 0.427 0.855
0.709 0.709 0.418
0.000 0.307 0.000
0.000 0.693 0.000
0.291 0.291 0.582
```

Summary:
VASP energy	-5.533	eV/atom
ΔE_f	-6.14	eV/f.u.
N(E_F)	0.84	states/eV per atom